Record 1
# RbNbGa2Te PBE relaxed
data_RbNbGa2Te
_cell_length_a 5.730
_cell_length_b 5.730
_cell_length_c 5.710
_cell_angle_alpha 90.00
_cell_angle_beta 90.00
_cell_angle_gamma 90.00
_symmetry_space_group_name_H-M 'P 4/m m m'
_symmetry_Int_Tables_number 123
_symmetry_space_group_name_Hall '-P 4 2'
loop_
_atom_site_label
_atom_site_type_symbol
_atom_site_fract_x
_atom_site_fract_y
_atom_site_fract_z
_atom_site_occupancy
Rb1 Rb 0.000 0.000 0.000 1
Nb1 Nb 0.000 0.000 0.500 1
Ga1 Ga 0.000 0.500 0.000 1
Te1 Te 0.500 0.500 0.500 1
# Formation energy (no corrections)   1.726 eV per atom

---

Record 2
# RbNbTlGa2 PBE relaxed
data_RbNbTlGa2
_cell_length_a 5.186
_cell_length_b 5.186
_cell_length_c 6.015
_cell_angle_alpha 90.00
_cell_angle_beta 90.00
_cell_angle_gamma 90.00
_symmetry_space_group_name_H-M 'P 4/m m m'
_symmetry_Int_Tables_number 123
_symmetry_space_group_name_Hall '-P 4 2'
loop_
_atom_site_label
_atom_site_type_symbol
_atom_site_fract_x
_atom_site_fract_y
_atom_site_fract_z
_atom_site_occupancy
Rb1 Rb 0.000 0.000 0.000 1
Nb1 Nb 0.000 0.000 0.500 1
Tl1 Tl 0.500 0.500 0.000 1
Ga1 Ga 0.000 0.500 0.500 1
# Energy relative to the elements   0.6986 eV/atom

---

Record 3
# NbGa3Re PBE relaxed
data_NbGa3Re
_cell_length_a 4.760
_cell_length_b 4.760
_cell_length_c 4.760
_cell_angle_alpha 90.00
_cell_angle_beta 90.00
_cell_angle_gamma 90.00
_symmetry_space_group_name_H-M 'P m -3 m'
_symmetry_Int_Tables_number 221
_symmetry_space_group_name_Hall '-P 4 2 3'
loop_
_atom_site_label
_atom_site_type_symbol
_atom_site_fract_x
_atom_site_fract_y
_atom_site_fract_z
_atom_site_occupancy
Nb1 Nb 0.000 0.000 0.000 1
Ga1 Ga 0.000 0.500 0.500 1
Re1 Re 0.500 0.500 0.500 1
# Energy relative to the elements   0.7986 eV/atom
# Energy relative to the lowest polymorph listed for this composition   0.0 meV/atom

---

Record 4
# Nb4Ga2Re PBE relaxed
data_Nb4Ga2Re
_cell_length_a 4.799
_cell_length_b 4.799
_cell_length_c 13.571
_cell_angle_alpha 90.00
_cell_angle_beta 90.00
_cell_angle_gamma 90.00
_symmetry_space_group_name_H-M 'I 4/m m m'
_symmetry_Int_Tables_number 139
_symmetry_space_group_name_Hall '-I 4 2'
loop_
_atom_site_label
_atom_site_type_symbol
_atom_site_fract_x
_atom_site_fract_y
_atom_site_fract_z
_atom_site_occupancy
Nb1 Nb 0.000 0.000 0.182 1
Nb2 Nb 0.000 0.500 0.000 1
Ga1 Ga 0.000 0.000 0.376 1
Re1 Re 0.000 0.000 0.000 1
# Energy relative to the elements   0.9501 eV/atom

---

Record 5
# Nb2GaRe PBE relaxed
data_Nb2GaRe
_cell_length_a 7.413
_cell_length_b 7.413
_cell_length_c 5.409
_cell_angle_alpha 90.00
_cell_angle_beta 90.00
_cell_angle_gamma 90.00
_symmetry_space_group_name_H-M 'I -4 2 d'
_symmetry_Int_Tables_number 122
_symmetry_space_group_name_Hall 'I -4 2bw'
loop_
_atom_site_label
_atom_site_type_symbol
_atom_site_fract_x
_atom_site_fract_y
_atom_site_fract_z
_atom_site_occupancy
Nb1 Nb 0.216 0.250 0.125 1
Ga1 Ga 0.000 0.000 0.500 1
Re1 Re 0.000 0.000 0.000 1
# Energy relative to the elements   0.4694 eV/atom

---

Record 6
# Nb6Ga3Re PBE relaxed
data_Nb6Ga3Re
_cell_length_a 5.017
_cell_length_b 7.762
_cell_length_c 10.567
_cell_angle_alpha 90.00
_cell_angle_beta 117.84
_cell_angle_gamma 90.00
_symmetry_space_group_name_H-M 'P 1 21/c 1'
_symmetry_Int_Tables_number 14
loop_
_symmetry_equiv_pos_as_xyz
'x,y,z'
'-x,-y,-z'
'-x,y+1/2,-z+1/2'
'x,-y+1/2,z+1/2'
loop_
_atom_site_label
_atom_site_type_symbol
_atom_site_fract_x
_atom_site_fract_y
_atom_site_fract_z
_atom_site_occupancy
Nb1 Nb 0.007 0.168 0.063 1
Nb2 Nb 0.367 0.176 0.431 1
Nb3 Nb 0.400 0.568 0.251 1
Ga1 Ga 0.000 0.000 0.500 1
Ga2 Ga 0.117 0.616 0.750 1
Re1 Re 0.500 0.000 0.000 1
# Energy relative to the elements   0.0413 eV/atom

---

Record 7
# Nb2GaRe PBE relaxed
data_Nb2GaRe
_cell_length_a 3.355
_cell_length_b 3.355
_cell_length_c 5.906
_cell_angle_alpha 90.00
_cell_angle_beta 90.00
_cell_angle_gamma 90.00
_symmetry_space_group_name_H-M 'P 4/m m m'
_symmetry_Int_Tables_number 123
_symmetry_space_group_name_Hall '-P 4 2'
loop_
_atom_site_label
_atom_site_type_symbol
_atom_site_fract_x
_atom_site_fract_y
_atom_site_fract_z
_atom_site_occupancy
Nb1 Nb 0.000 0.000 0.248 1
Ga1 Ga 0.500 0.500 0.500 1
Re1 Re 0.500 0.500 0.000 1
# Energy relative to the elements   -0.1551 eV/atom

---

Record 8
# NbGaRe PBE relaxed
data_NbGaRe
_cell_length_a 3.294
_cell_length_b 3.294
_cell_length_c 8.871
_cell_angle_alpha 90.00
_cell_angle_beta 90.00
_cell_angle_gamma 90.00
_symmetry_space_group_name_H-M 'I 4 m m'
_symmetry_Int_Tables_number 107
_symmetry_space_group_name_Hall 'I 4 -2'
loop_
_atom_site_label
_atom_site_type_symbol
_atom_site_fract_x
_atom_site_fract_y
_atom_site_fract_z
_atom_site_occupancy
Nb1 Nb 0.000 0.000 0.000 1
Ga1 Ga 0.000 0.000 0.678 1
Re1 Re 0.000 0.000 0.339 1
# Energy relative to the elements   -0.1314 eV/atom

---

Computed values of ρ (unit: g/cm3) for the preceding records, in sequence: 3.9, 5.4, 7.5, 7.4, 9.9, 8.7, 11.0, 12.0.